! PBE-GGA AcErI, relaxed; values from VASP
! Formation energy without anion corrections ... -0.478 eV/atom
! Raw total energy ... -0.2856 Ry per atom
! Energy above the lowest structure with this stoichiometry ... 0 meV per atom
! Space group ... C2/m, No. 12
! M_tot ... 0.0000 μB/atom
&SYSTEM
  ibrav = 0, nat = 6, ntyp = 3
/
ATOMIC_SPECIES
Ac 227.00 Ac.upf
Er 167.26 Er.upf
I 126.90 I.upf
CELL_PARAMETERS angstrom
3.803 1.089 0.502
0.333 6.583 -0.978
-0.155 -3.615 9.023
ATOMIC_POSITIONS crystal
Ac 0.080 0.840 0.175
Ac 0.920 0.160 0.825
Er 0.645 0.710 0.465
Er 0.355 0.290 0.535
I 0.345 0.310 0.189
I 0.655 0.690 0.811